# 1
Material: CsRbSe2N
Method: DFT, PBEsol
State: optimized geometry

a = 6.001 Å, b = 6.001 Å, c = 6.906 Å
α = 90.00°, β = 90.00°, γ = 90.00°
Fractional coordinates of all 5 atoms:
Rb  0.000  0.000  0.500
Cs  0.000  0.000  0.000
N  0.500  0.500  0.500
Se  0.000  0.500  0.000
Se  0.500  0.000  0.000

## Properties
Raw formation energy = 1190 meV/atom
N(E_F) = 3.8 states/eV per cell
Symmetry = P4/mmm, No. 123


# 2
Material: Tc2Se
Method: DFT, PBEsol
State: optimized geometry

a = 2.940 Å, b = 4.837 Å, c = 6.990 Å
α = 75.97°, β = 77.86°, γ = 72.31°
Fractional coordinates of all 6 atoms:
Tc  0.344  0.610  0.701
Tc  0.025  0.559  0.391
Se  0.061  0.838  0.041
Tc  0.773  0.392  0.061
Se  0.648  0.075  0.628
Tc  0.315  0.025  0.344

## Properties
Raw formation energy = 117 meV/atom
N(E_F) = 4.6 states/eV per cell
Symmetry = Cm, No. 8


# 3
Material: MgTePb
Method: DFT, PBEsol
State: optimized geometry

a = 4.151 Å, b = 4.151 Å, c = 5.869 Å
α = 90.00°, β = 90.00°, γ = 120.00°
Fractional coordinates of all 3 atoms:
Mg  0.000  0.000  0.034
Te  0.667  0.333  0.296
Pb  0.333  0.667  0.670

## Properties
Raw formation energy = -225 meV/atom
N(E_F) = 1.4 states/eV per cell
Symmetry = P3m1, No. 156


# 4
Material: CaCoO3
Method: DFT, PBEsol
State: optimized geometry

a = 5.187 Å, b = 5.246 Å, c = 7.323 Å
α = 90.00°, β = 90.00°, γ = 90.00°
Fractional coordinates of all 20 atoms:
Co  0.500  0.000  0.500
Ca  0.009  0.047  0.750
O  0.794  0.208  0.038
O  0.294  0.292  0.962
Co  0.500  0.000  0.000
O  0.294  0.292  0.538
O  0.794  0.208  0.462
O  0.926  0.490  0.750
Ca  0.491  0.547  0.750
O  0.574  0.990  0.750
O  0.206  0.792  0.962
Co  0.000  0.500  0.500
O  0.706  0.708  0.038
Ca  0.509  0.453  0.250
Co  0.000  0.500  0.000
O  0.074  0.510  0.250
O  0.426  0.010  0.250
O  0.706  0.708  0.462
O  0.206  0.792  0.538
Ca  0.991  0.953  0.250

## Properties
Raw formation energy = -1785 meV/atom
N(E_F) = 15.6 states/eV per cell
Symmetry = Pnma, No. 62


# 5
Material: ScAlZnC2
Method: DFT, PBEsol
State: optimized geometry

a = 4.131 Å, b = 4.131 Å, c = 5.081 Å
α = 90.00°, β = 90.00°, γ = 90.00°
Fractional coordinates of all 5 atoms:
Zn  0.000  0.000  0.500
Sc  0.000  0.000  0.000
C  0.500  0.000  0.000
C  0.000  0.500  0.000
Al  0.500  0.500  0.500

## Properties
ΔH_f (0 K) = 1794.3 meV per atom
N(E_F) = 2.6 states/eV per cell
Symmetry = P4/mmm, No. 123


# 6
Material: CoPRu2
Method: DFT, PBEsol
State: optimized geometry

a = 2.752 Å, b = 2.752 Å, c = 6.259 Å
α = 90.00°, β = 90.00°, γ = 90.00°
Fractional coordinates of all 4 atoms:
Ru  0.500  0.500  0.256
Co  0.000  0.000  0.550
P  0.500  0.500  0.723
Ru  0.000  0.000  0.972

## Properties
ΔH_f (0 K) = -141.3 meV per atom
N(E_F) = 4.2 states/eV per cell
Symmetry = P4mm, No. 99